Entry 1:
Entry from the Alexandria database: a crystal of ZrTl2Tc relaxed with PBEsol (SCAN).

The structure in POSCAR format:
```
ZrTl2Tc
1.0
-2.7970 -0.1687 1.2185
2.1956 -1.3382 1.6508
1.5294 8.2481 4.6522
Zr Tl Tc
1 2 1
direct
0.5000 0.5000 0.5000
0.0000 0.0000 0.7664
0.0000 0.0000 0.2336
0.5000 0.5000 0.0000
```

Summary:
Formation energy from the elements, eV per atom: 0.44
Uncorrected energy, eV per atom: -52.181
Energy above the most stable polymorph in this dataset, meV per atom: 150


Entry 2:
Entry from the Alexandria database: a crystal of RbCrCu2Tc relaxed with PBEsol (SCAN).

The structure in POSCAR format:
```
RbCrCu2Tc
1.0
4.7171 0.0000 0.0000
0.0000 4.7171 0.0000
0.0000 0.0000 5.1313
Tc Cu Rb Cr
1 2 1 1
direct
0.0000 0.0000 0.0000
0.0000 0.5000 0.0000
0.5000 0.0000 0.0000
0.0000 0.0000 0.5000
0.5000 0.5000 0.5000
```

Summary:
Formation energy from the elements, eV per atom: 1.72
Uncorrected energy, eV per atom: -19.196


Entry 3:
Entry from the Alexandria database: a crystal of ZnSb relaxed with PBEsol (SCAN).

The structure in POSCAR format:
```
ZnSb
1.0
3.9192 0.0000 0.0000
-1.9596 4.0178 0.0332
0.0000 -2.0343 5.6206
Zn Sb
2 2
direct
0.6196 0.2391 0.9108
0.3804 0.7609 0.0892
0.8550 0.7100 0.6922
0.1450 0.2900 0.3078
```

Summary:
Uncorrected energy, eV per atom: -25.338
Formation energy without anion corrections, meV per atom: 50